(1)
Compound: Ho4Al16Pd3
Source: Alexandria
Functional: GGA-PBE
Structure: relaxed

For the formation energy, the calculation gives -0.559 eV per atom. The value obtained for the total magnetic moment is 0.000 μB/atom.

It has space group P4/mmm (No. 123), with a = 6.1761 Å, b = 6.1761 Å, c = 11.1524 Å, α = 90.00°, β = 90.00° and γ = 90.00°. The asymmetric unit holds Ho at (0.0000, 0.5000, 0.1885), Al at (0.0000, 0.0000, 0.1970), Al at (0.2135, 0.2135, 0.0000), Al at (0.2429, 0.2429, 0.3756), Al at (0.5000, 0.5000, 0.2278), Pd at (0.0000, 0.5000, 0.5000) and Pd at (0.5000, 0.5000, 0.0000).



(2)
Compound: HoAlPd2
Source: Alexandria
Functional: GGA-PBE
Structure: relaxed

For the formation energy, the calculation gives -0.928 eV per atom. The value obtained for the total magnetic moment is 0.000 μB/atom.

It has space group Pnma (No. 62), with a = 7.2331 Å, b = 7.0965 Å, c = 5.7610 Å, α = 90.00°, β = 90.00° and γ = 90.00°. The asymmetric unit holds Ho at (0.0270, 0.2500, 0.1520), Al at (0.1142, 0.7500, 0.3513) and Pd at (0.1852, 0.0504, 0.5859).